(1)
Here is LiPrZn4 after structural relaxation from Alexandria. Energies are from GGA-PBE.

a b c (Å): 4.6554 14.5249 6.8123
angles (deg): 90.00 90.00 90.00
Space group Cmcm (No. 63)
Unique sites:
1 Li 0.0000 0.1478 0.2500 (multiplicity 4)
2 Pr 0.0000 0.3923 0.2500 (multiplicity 4)
3 Zn 0.0000 0.0000 0.0000 (multiplicity 4)
4 Zn 0.0000 0.2350 0.5717 (multiplicity 8)
5 Zn 0.0000 0.4066 0.7500 (multiplicity 4)

## Properties
- excess energy over the best structure of this formula in the dataset (meV per atom) = 93.5
- calculated total energy (eV per atom) = -2.143
- energy relative to the elements (eV/atom) = -0.178

(2)
Here is Li2PrZn7 after structural relaxation from Alexandria. Energies are from GGA-PBE.

a b c (Å): 8.7580 10.5072 4.2624
angles (deg): 90.00 90.00 90.00
Space group Cmmm (No. 65)
Unique sites:
1 Li 0.0000 0.2393 0.0000 (multiplicity 4)
2 Pr 0.0000 0.0000 0.5000 (multiplicity 2)
3 Zn 0.0000 0.3656 0.5000 (multiplicity 4)
4 Zn 0.0000 0.5000 0.0000 (multiplicity 2)
5 Zn 0.2495 0.3747 0.0000 (multiplicity 8)

## Properties
- calculated total energy (eV per atom) = -1.715
- energy relative to the elements (eV/atom) = 0.038

(3)
Here is Li2Pr3Zn5 after structural relaxation from Alexandria. Energies are from GGA-PBE.

a b c (Å): 10.2912 10.2912 4.0264
angles (deg): 90.00 90.00 90.00
Space group P4/mbm (No. 127)
Unique sites:
1 Li 0.1109 0.3891 0.0000 (multiplicity 4)
2 Pr 0.0000 0.0000 0.0000 (multiplicity 2)
3 Pr 0.1812 0.6812 0.0000 (multiplicity 4)
4 Zn 0.0000 0.5000 0.5000 (multiplicity 2)
5 Zn 0.0588 0.2299 0.5000 (multiplicity 8)

## Properties
- calculated total energy (eV per atom) = -2.683
- energy relative to the elements (eV/atom) = -0.230

(4)
Here is LiPrZn3 after structural relaxation from Alexandria. Energies are from GGA-PBE.

a b c (Å): 5.9350 6.1622 5.9381
angles (deg): 90.00 114.35 90.00
Space group P2_1/m (No. 11)
Unique sites:
1 Li 0.1026 0.2500 0.4004 (multiplicity 2)
2 Pr 0.2296 0.7500 0.2708 (multiplicity 2)
3 Zn 0.2845 0.5013 0.7853 (multiplicity 4)
4 Zn 0.3485 0.2500 0.1496 (multiplicity 2)

## Properties
- excess energy over the best structure of this formula in the dataset (meV per atom) = 0.0
- calculated total energy (eV per atom) = -2.323
- energy relative to the elements (eV/atom) = -0.220

(5)
Here is Li3PrZn8 after structural relaxation from Alexandria. Energies are from GGA-PBE.

a b c (Å): 5.2515 5.2515 26.4496
angles (deg): 90.00 90.00 120.00
Space group R3m (No. 160, hexagonal axes)
Unique sites:
1 Li 0.0000 0.0000 0.0000 (multiplicity 3)
2 Li 0.0000 0.0000 0.1158 (multiplicity 3)
3 Li 0.0000 0.0000 0.6298 (multiplicity 3)
4 Pr 0.0000 0.0000 0.5015 (multiplicity 3)
5 Zn 0.0000 0.0000 0.3143 (multiplicity 3)
6 Zn 0.0000 0.0000 0.8115 (multiplicity 3)
7 Zn 0.0023 0.5011 0.5675 (multiplicity 9)
8 Zn 0.1683 0.3366 0.3937 (multiplicity 9)

## Properties
- calculated total energy (eV per atom) = -1.928
- energy relative to the elements (eV/atom) = -0.202

(6)
Here is Li7PrZn5 after structural relaxation from Alexandria. Energies are from GGA-PBE.

a b c (Å): 5.2163 9.2990 9.3961
angles (deg): 90.00 90.00 90.00
Space group Imm2 (No. 44)
Unique sites:
1 Li 0.0000 0.0000 0.0000 (multiplicity 2)
2 Li 0.0000 0.0000 0.3050 (multiplicity 2)
3 Li 0.0000 0.2812 0.1472 (multiplicity 4)
4 Li 0.0000 0.3526 0.6386 (multiplicity 4)
5 Li 0.0000 0.5000 0.9189 (multiplicity 2)
6 Pr 0.0000 0.0000 0.6564 (multiplicity 2)
7 Zn 0.0000 0.5000 0.3604 (multiplicity 2)
8 Zn 0.2488 0.2482 0.8949 (multiplicity 8)

## Properties
- calculated total energy (eV per atom) = -2.055
- energy relative to the elements (eV/atom) = -0.167

(7)
Here is LiPrZn4 after structural relaxation from Alexandria. Energies are from GGA-PBE.

a b c (Å): 4.4288 4.4292 6.7410
angles (deg): 89.83 88.82 60.00
Space group P-1 (No. 2)
Unique sites:
1 Li 0.0000 0.0000 0.0000 (multiplicity 1)
2 Pr 0.0000 0.0000 0.5000 (multiplicity 1)
3 Zn 0.3273 0.3357 0.7966 (multiplicity 2)
4 Zn 0.3391 0.3310 0.2031 (multiplicity 2)

## Properties
- excess energy over the best structure of this formula in the dataset (meV per atom) = 0.0
- calculated total energy (eV per atom) = -2.236
- energy relative to the elements (eV/atom) = -0.271

(8)
Here is LiPr4Zn2 after structural relaxation from Alexandria. Energies are from GGA-PBE.

a b c (Å): 5.2491 5.2491 25.6214
angles (deg): 90.00 90.00 120.00
Space group R-3m (No. 166, hexagonal axes)
Unique sites:
1 Li 0.0000 0.0000 0.0000 (multiplicity 3)
2 Pr 0.0000 0.0000 0.2128 (multiplicity 6)
3 Pr 0.0000 0.0000 0.3756 (multiplicity 6)
4 Zn 0.0000 0.0000 0.0927 (multiplicity 6)

## Properties
- excess energy over the best structure of this formula in the dataset (meV per atom) = 58.2
- calculated total energy (eV per atom) = -3.371
- energy relative to the elements (eV/atom) = -0.002

(9)
Here is LiPrZn2 after structural relaxation from Alexandria. Energies are from GGA-PBE.

a b c (Å): 3.4106 3.4106 7.0546
angles (deg): 90.00 90.00 90.00
Space group P4/mmm (No. 123)
Unique sites:
1 Li 0.0000 0.0000 0.0000 (multiplicity 1)
2 Pr 0.0000 0.0000 0.5000 (multiplicity 1)
3 Zn 0.5000 0.5000 0.1949 (multiplicity 2)

## Properties
- excess energy over the best structure of this formula in the dataset (meV per atom) = 78.2
- calculated total energy (eV per atom) = -2.483
- energy relative to the elements (eV/atom) = -0.172

(10)
Here is LiPr2Zn5 after structural relaxation from Alexandria. Energies are from GGA-PBE.

a b c (Å): 6.7767 6.7767 7.5785
angles (deg): 90.00 90.00 90.00
Space group I4mm (No. 107)
Unique sites:
1 Li 0.0000 0.0000 0.0000 (multiplicity 2)
2 Pr 0.0000 0.5000 0.1016 (multiplicity 4)
3 Zn 0.0000 0.0000 0.6444 (multiplicity 2)
4 Zn 0.1940 0.1940 0.3439 (multiplicity 8)

## Properties
- excess energy over the best structure of this formula in the dataset (meV per atom) = 48.1
- calculated total energy (eV per atom) = -2.413
- energy relative to the elements (eV/atom) = -0.183

(11)
Here is Li2PrZn3 after structural relaxation from Alexandria. Energies are from GGA-PBE.

a b c (Å): 10.1378 9.0493 5.0026
angles (deg): 90.00 90.00 90.00
Space group Cmcm (No. 63)
Unique sites:
1 Li 0.2246 0.0000 0.0000 (multiplicity 8)
2 Pr 0.0000 0.3041 0.2500 (multiplicity 4)
3 Zn 0.0000 0.0640 0.7500 (multiplicity 4)
4 Zn 0.1872 0.2648 0.7500 (multiplicity 8)

## Properties
- excess energy over the best structure of this formula in the dataset (meV per atom) = 23.8
- calculated total energy (eV per atom) = -2.258
- energy relative to the elements (eV/atom) = -0.187

(12)
Here is LiPr3Zn8 after structural relaxation from Alexandria. Energies are from GGA-PBE.

a b c (Å): 5.5290 5.5290 27.1856
angles (deg): 90.00 90.00 120.00
Space group R3m (No. 160, hexagonal axes)
Unique sites:
1 Li 0.0000 0.0000 0.0000 (multiplicity 3)
2 Pr 0.0000 0.0000 0.1227 (multiplicity 3)
3 Pr 0.0000 0.0000 0.5048 (multiplicity 3)
4 Pr 0.0000 0.0000 0.6314 (multiplicity 3)
5 Zn 0.0000 0.0000 0.3163 (multiplicity 3)
6 Zn 0.0000 0.0000 0.8149 (multiplicity 3)
7 Zn 0.0006 0.5003 0.5667 (multiplicity 9)
8 Zn 0.1679 0.3358 0.3978 (multiplicity 9)

## Properties
- calculated total energy (eV per atom) = -2.479
- energy relative to the elements (eV/atom) = -0.276